Density functional theory data (PBE-GGA) for an optimized crystal structure of UCoOs.

Unit cell a=7.6343 b=3.8824 c=3.5615 alpha=90.00 beta=90.00 gamma=90.00
Sites, in units of the cell vectors:
U 0.0000 0.0000 0.0000
U 0.5000 0.0000 0.0000
Co 0.2500 0.0000 0.4465
Co 0.7500 0.0000 0.5535
Os 0.2500 0.5000 0.9293
Os 0.7500 0.5000 0.0707

Summary:
Formation enthalpy at 0 K in eV/atom: 0.183
ρ in kg/m3: 15328
Space group: Pmma, No. 51
Distance to the lowest polymorph of the same formula in eV/atom: 0.366

=====

Density functional theory data (PBE-GGA) for an optimized crystal structure of Li2H2I2O.

Unit cell a=4.6997 b=6.0791 c=6.5240 alpha=107.64 beta=90.09 gamma=111.74
Sites, in units of the cell vectors:
Li 0.1664 0.3356 0.2549
Li 0.8336 0.6644 0.7451
H 0.0528 0.1031 0.9009
H 0.9472 0.8969 0.0991
I 0.1946 0.3771 0.7057
I 0.8054 0.6229 0.2943
O 0.0000 0.0000 0.0000

Summary:
Uncorrected energy in eV/cell: -25.38
ρ in kg/m3: 2899
Space group: P-1, No. 2

=====

Density functional theory data (PBE-GGA) for an optimized crystal structure of Dy2Er4Tl.

Unit cell a=19.1016 b=3.5822 c=12.4543 alpha=90.00 beta=90.00 gamma=90.00
Sites, in units of the cell vectors:
Dy 0.0813 0.2500 0.1649
Dy 0.1547 0.7500 0.6589
Dy 0.3453 0.2500 0.1589
Dy 0.4187 0.7500 0.6649
Dy 0.5813 0.2500 0.3351
Dy 0.6547 0.7500 0.8411
Dy 0.8453 0.2500 0.3411
Dy 0.9187 0.7500 0.8351
Er 0.0023 0.2500 0.6312
Er 0.0805 0.2500 0.8808
Er 0.2077 0.7500 0.0301
Er 0.2265 0.7500 0.3068
Er 0.2735 0.2500 0.8068
Er 0.2923 0.2500 0.5301
Er 0.4195 0.7500 0.3808
Er 0.4977 0.7500 0.1312
Er 0.5023 0.2500 0.8688
Er 0.5805 0.2500 0.6192
Er 0.7077 0.7500 0.4699
Er 0.7265 0.7500 0.1932
Er 0.7735 0.2500 0.6932
Er 0.7923 0.2500 0.9699
Er 0.9195 0.7500 0.1192
Er 0.9977 0.7500 0.3688
Tl 0.1238 0.2500 0.4468
Tl 0.3762 0.7500 0.9468
Tl 0.6238 0.2500 0.0532
Tl 0.8762 0.7500 0.5532

Summary:
Formation enthalpy at 0 K in eV/atom: -0.052
ρ in kg/m3: 9341
Space group: Pnma, No. 62
Distance to the lowest polymorph of the same formula in eV/atom: 0.000

=====

Q: Which formula does entry 3 have?
A: Dy2Er4Tl

=====

Q: What is the formula in the first record?
A: UCoOs

=====

Q: Look up the ρ of the third one.
A: 9341 kg/m3

=====

Q: The highest ρ belongs to which entry?
A: UCoOs